*A*
Material: NaMnO2
Method: DFT, PBE with a Hubbard U
State: optimized geometry

M_tot in μB per formula unit: 4.0
Space-group type: Pm (6)

Structure (CIF):
```
data_NaMnO2
_chemical_formula_sum 'Na4 Mn4 O8'
_cell_length_a 2.8861
_cell_length_b 5.8254
_cell_length_c 11.4772
_cell_angle_alpha 85.71
_cell_angle_beta 90.00
_cell_angle_gamma 90.00
_space_group_name_H-M_alt 'P 1'
_space_group_IT_number 1
_space_group_name_Hall 'P 1'
loop_
_atom_site_label
_atom_site_fract_x
_atom_site_fract_y
_atom_site_fract_z
Mn1 0.5000 0.9940 0.9934
Mn2 0.0000 0.3970 0.7428
Mn3 0.0000 0.5693 0.2669
Mn4 0.5000 0.0562 0.4867
Na1 0.5000 0.4922 0.0002
Na2 0.5000 0.9073 0.7512
Na3 0.0000 0.5484 0.5085
Na4 0.5000 0.0704 0.2353
O1 0.0000 0.8168 0.9254
O2 0.5000 0.5727 0.6644
O3 0.5000 0.6944 0.1723
O4 0.0000 0.1586 0.0703
O5 0.0000 0.9192 0.3988
O6 0.5000 0.2581 0.8355
O7 0.0000 0.1372 0.5910
O8 0.5000 0.4083 0.3575
```

*B*
Material: NaMnO2
Method: DFT, PBE with a Hubbard U
State: optimized geometry

M_tot in μB per formula unit: 4.0
Space-group type: Pmmn (59)

Structure (CIF):
```
data_NaMnO2
_chemical_formula_sum 'Na2 Mn2 O4'
_cell_length_a 2.9218
_cell_length_b 4.8547
_cell_length_c 6.4094
_cell_angle_alpha 90.00
_cell_angle_beta 90.00
_cell_angle_gamma 90.00
_space_group_name_H-M_alt 'P 1'
_space_group_IT_number 1
_space_group_name_Hall 'P 1'
loop_
_atom_site_label
_atom_site_fract_x
_atom_site_fract_y
_atom_site_fract_z
Mn1 0.7500 0.7500 0.3748
Mn2 0.2500 0.2500 0.6252
O1 0.2500 0.7500 0.5820
O2 0.2500 0.7500 0.1709
O3 0.7500 0.2500 0.4180
O4 0.7500 0.2500 0.8291
Na1 0.7500 0.7500 0.8762
Na2 0.2500 0.2500 0.1238
```

Least stable structure: *A*

*A*
Material: NaMnO2
Method: DFT, PBE with a Hubbard U
State: optimized geometry

M_tot in μB per formula unit: 4.0
Space-group type: Fm-3m (225)

Structure (CIF):
```
data_NaMnO2
_chemical_formula_sum 'Na1 Mn1 O2'
_cell_length_a 3.8907
_cell_length_b 3.8907
_cell_length_c 3.8907
_cell_angle_alpha 60.00
_cell_angle_beta 60.00
_cell_angle_gamma 60.00
_space_group_name_H-M_alt 'P 1'
_space_group_IT_number 1
_space_group_name_Hall 'P 1'
loop_
_atom_site_label
_atom_site_fract_x
_atom_site_fract_y
_atom_site_fract_z
O1 0.7500 0.7500 0.7500
O2 0.2500 0.2500 0.2500
Na1 0.0000 0.0000 0.0000
Mn1 0.5000 0.5000 0.5000
```

*B*
Material: NaMnO2
Method: DFT, PBE with a Hubbard U
State: optimized geometry

M_tot in μB per formula unit: 4.0
Space-group type: I-42d (122)

Structure (CIF):
```
data_NaMnO2
_chemical_formula_sum 'Na2 Mn2 O4'
_cell_length_a 5.5798
_cell_length_b 5.5798
_cell_length_c 5.1585
_cell_angle_alpha 57.26
_cell_angle_beta 57.26
_cell_angle_gamma 90.00
_space_group_name_H-M_alt 'P 1'
_space_group_IT_number 1
_space_group_name_Hall 'P 1'
loop_
_atom_site_label
_atom_site_fract_x
_atom_site_fract_y
_atom_site_fract_z
O1 0.0627 0.6250 0.2500
O2 0.8750 0.9373 0.7500
O3 0.3750 0.3127 0.7500
O4 0.6873 0.1250 0.2500
Mn1 0.0000 0.0000 0.0000
Mn2 0.7500 0.2500 0.5000
Na1 0.2500 0.7500 0.5000
Na2 0.5000 0.5000 0.0000
```

*C*
Material: NaMnO2
Method: DFT, PBE with a Hubbard U
State: optimized geometry

M_tot in μB per formula unit: 4.0
Space-group type: R-3m (166)

Structure (CIF):
```
data_NaMnO2
_chemical_formula_sum 'Na1 Mn1 O2'
_cell_length_a 6.4829
_cell_length_b 6.4829
_cell_length_c 6.4829
_cell_angle_alpha 27.65
_cell_angle_beta 27.65
_cell_angle_gamma 27.65
_space_group_name_H-M_alt 'P 1'
_space_group_IT_number 1
_space_group_name_Hall 'P 1'
loop_
_atom_site_label
_atom_site_fract_x
_atom_site_fract_y
_atom_site_fract_z
O1 0.1122 0.1122 0.1122
O2 0.8878 0.8878 0.8878
Mn1 0.5000 0.5000 0.5000
Na1 0.0000 0.0000 0.0000
```

Least stable structure: *A*

*A*
Material: NaMnO2
Method: DFT, PBE with a Hubbard U
State: optimized geometry

M_tot in μB per formula unit: 4.0
Space-group type: Cmcm (63)

Structure (CIF):
```
data_NaMnO2
_chemical_formula_sum 'Na2 Mn2 O4'
_cell_length_a 2.9213
_cell_length_b 3.2135
_cell_length_c 10.9226
_cell_angle_alpha 90.00
_cell_angle_beta 90.00
_cell_angle_gamma 117.04
_space_group_name_H-M_alt 'P 1'
_space_group_IT_number 1
_space_group_name_Hall 'P 1'
loop_
_atom_site_label
_atom_site_fract_x
_atom_site_fract_y
_atom_site_fract_z
O1 0.6250 0.2501 0.8982
O2 0.3750 0.7499 0.1018
O3 0.6250 0.2501 0.6018
O4 0.3750 0.7499 0.3982
Na1 0.6983 0.3966 0.2500
Na2 0.3017 0.6034 0.7500
Mn1 0.0000 0.0000 0.0000
Mn2 0.0000 0.0000 0.5000
```

*B*
Material: NaMnO2
Method: DFT, PBE with a Hubbard U
State: optimized geometry

M_tot in μB per formula unit: 4.0
Space-group type: C2/c (15)

Structure (CIF):
```
data_NaMnO2
_chemical_formula_sum 'Na2 Mn2 O4'
_cell_length_a 3.1763
_cell_length_b 5.2376
_cell_length_c 5.7189
_cell_angle_alpha 100.90
_cell_angle_beta 106.12
_cell_angle_gamma 90.00
_space_group_name_H-M_alt 'P 1'
_space_group_IT_number 1
_space_group_name_Hall 'P 1'
loop_
_atom_site_label
_atom_site_fract_x
_atom_site_fract_y
_atom_site_fract_z
O1 0.8396 0.6444 0.2994
O2 0.4598 0.1444 0.2994
O3 0.1604 0.3556 0.7006
O4 0.5402 0.8556 0.7006
Mn1 0.0000 0.0000 0.5000
Mn2 0.5000 0.5000 0.5000
Na1 0.2219 0.7500 0.0000
Na2 0.7781 0.2500 0.0000
```

Least stable structure: *B*

*A*
Material: NaMn2O4
Method: DFT, PBE with a Hubbard U
State: optimized geometry

M_tot in μB per formula unit: 7.0
Space-group type: C222_1 (20)

Structure (CIF):
```
data_NaMn2O4
_chemical_formula_sum 'Na4 Mn8 O16'
_cell_length_a 6.2611
_cell_length_b 6.2611
_cell_length_c 8.4270
_cell_angle_alpha 90.00
_cell_angle_beta 90.00
_cell_angle_gamma 94.69
_space_group_name_H-M_alt 'P 1'
_space_group_IT_number 1
_space_group_name_Hall 'P 1'
loop_
_atom_site_label
_atom_site_fract_x
_atom_site_fract_y
_atom_site_fract_z
Na1 0.2720 0.2720 0.0000
Na2 0.7280 0.7280 0.5000
Na3 0.7549 0.2451 0.7500
Na4 0.2451 0.7549 0.2500
O1 0.0143 0.7751 0.6467
O2 0.4647 0.2390 0.6066
O3 0.5353 0.7610 0.1066
O4 0.7607 0.9572 0.8931
O5 0.5635 0.2235 0.1400
O6 0.7751 0.0143 0.3533
O7 0.2390 0.4647 0.3934
O8 0.2249 0.9857 0.8533
O9 0.0428 0.2393 0.6069
O10 0.4365 0.7765 0.6400
O11 0.2235 0.5635 0.8600
O12 0.9857 0.2249 0.1467
O13 0.9572 0.7607 0.1069
O14 0.2393 0.0428 0.3931
O15 0.7610 0.5353 0.8934
O16 0.7765 0.4365 0.3600
Mn1 0.7615 0.9915 0.1274
Mn2 0.4914 0.7639 0.8772
Mn3 0.7639 0.4914 0.1228
Mn4 0.0085 0.2385 0.3726
Mn5 0.5086 0.2361 0.3772
Mn6 0.9915 0.7615 0.8726
Mn7 0.2361 0.5086 0.6228
Mn8 0.2385 0.0085 0.6274
```

*B*
Material: NaMn2O4
Method: DFT, PBE with a Hubbard U
State: optimized geometry

M_tot in μB per formula unit: 7.0
Space-group type: P-42m (111)

Structure (CIF):
```
data_NaMn2O4
_chemical_formula_sum 'Na1 Mn2 O4'
_cell_length_a 4.7319
_cell_length_b 4.7319
_cell_length_c 5.0230
_cell_angle_alpha 90.00
_cell_angle_beta 90.00
_cell_angle_gamma 90.00
_space_group_name_H-M_alt 'P 1'
_space_group_IT_number 1
_space_group_name_Hall 'P 1'
loop_
_atom_site_label
_atom_site_fract_x
_atom_site_fract_y
_atom_site_fract_z
O1 0.2444 0.2444 0.3380
O2 0.7556 0.7556 0.3380
O3 0.2444 0.7556 0.6620
O4 0.7556 0.2444 0.6620
Mn1 0.5000 0.0000 0.5000
Mn2 0.0000 0.5000 0.5000
Na1 0.0000 0.0000 0.0000
```

*C*
Material: NaMn2O4
Method: DFT, PBE with a Hubbard U
State: optimized geometry

M_tot in μB per formula unit: 7.0
Space-group type: Pmmn (59)

Structure (CIF):
```
data_NaMn2O4
_chemical_formula_sum 'Na4 Mn8 O16'
_cell_length_a 5.3250
_cell_length_b 5.7916
_cell_length_c 11.4589
_cell_angle_alpha 90.00
_cell_angle_beta 90.00
_cell_angle_gamma 90.00
_space_group_name_H-M_alt 'P 1'
_space_group_IT_number 1
_space_group_name_Hall 'P 1'
loop_
_atom_site_label
_atom_site_fract_x
_atom_site_fract_y
_atom_site_fract_z
Na1 0.3106 0.5000 0.5000
Na2 0.0681 0.5000 0.0000
Na3 0.9319 0.0000 0.5000
Na4 0.6894 0.0000 0.0000
O1 0.3321 0.0000 0.1662
O2 0.6825 0.0000 0.6710
O3 0.3321 0.0000 0.8338
O4 0.6679 0.5000 0.3338
O5 0.8704 0.7487 0.8462
O6 0.8704 0.2513 0.8462
O7 0.6679 0.5000 0.6662
O8 0.1296 0.7513 0.3462
O9 0.1296 0.2487 0.6538
O10 0.3175 0.5000 0.1710
O11 0.6825 0.0000 0.3290
O12 0.8704 0.7487 0.1538
O13 0.8704 0.2513 0.1538
O14 0.1296 0.2487 0.3462
O15 0.1296 0.7513 0.6538
O16 0.3175 0.5000 0.8290
Mn1 0.0047 0.0000 0.7542
Mn2 0.5000 0.2500 0.2500
Mn3 0.9953 0.5000 0.2542
Mn4 0.5000 0.2500 0.7500
Mn5 0.5000 0.7500 0.7500
Mn6 0.0047 0.0000 0.2458
Mn7 0.5000 0.7500 0.2500
Mn8 0.9953 0.5000 0.7458
```

Least stable structure: *B*